Below is crystalline Eu2CuGe4O12 at its relaxed geometry, with properties calculated at the GGA-PBEsol level.

Values from the calculation:
As for the space group: P-1. For the total moment, the calculation gives 0.684 μB/atom. The value obtained for the uncorrected formation energy is -1.89 eV per atom.

abc: 4.834 7.291 8.091
angles: 67.12 86.70 76.28
Sites, in units of the cell vectors:
Eu1 0.056 0.267 0.453
Eu2 0.944 0.733 0.547
Cu1 0.000 0.500 0.000
Ge1 0.415 0.881 0.803
Ge2 0.455 0.675 0.213
Ge3 0.545 0.325 0.787
Ge4 0.585 0.119 0.197
O1 0.233 0.568 0.382
O2 0.236 0.914 0.610
O3 0.241 0.274 0.178
O4 0.246 0.808 0.009
O5 0.251 0.507 0.810
O6 0.414 0.150 0.726
O7 0.586 0.850 0.274
O8 0.749 0.493 0.190
O9 0.754 0.192 0.991
O10 0.759 0.726 0.822
O11 0.764 0.086 0.390
O12 0.767 0.432 0.618

---

Below is crystalline KEuCu2Te4 at its relaxed geometry, with properties calculated at the GGA-PBEsol level.

Values from the calculation:
As for the space group: P4mm. For the total moment, the calculation gives 0.835 μB/atom. The value obtained for the uncorrected formation energy is -0.68 eV per atom.

abc: 4.369 4.369 10.965
angles: 90.00 90.00 90.00
Sites, in units of the cell vectors:
K1 0.000 0.000 0.000
Eu1 0.500 0.500 0.491
Cu1 0.000 0.500 0.724
Cu2 0.500 0.000 0.724
Te1 0.000 0.000 0.579
Te2 0.000 0.500 0.265
Te3 0.500 0.000 0.265
Te4 0.500 0.500 0.854

---

Below is crystalline EuMg2Cu9 at its relaxed geometry, with properties calculated at the GGA-PBEsol level.

Values from the calculation:
As for the space group: P6_3/mmc. For the total moment, the calculation gives 0.592 μB/atom. The formation enthalpy at 0 K comes out at -1.58 eV per formula unit.

abc: 4.979 4.979 15.800
angles: 90.00 90.00 120.00
Sites, in units of the cell vectors:
Eu1 0.333 0.667 0.250
Eu2 0.667 0.333 0.750
Mg1 0.333 0.667 0.032
Mg2 0.333 0.667 0.468
Mg3 0.667 0.333 0.532
Mg4 0.667 0.333 0.968
Cu1 0.000 0.000 0.000
Cu2 0.000 0.000 0.250
Cu3 0.000 0.000 0.500
Cu4 0.000 0.000 0.750
Cu5 0.168 0.337 0.623
Cu6 0.168 0.337 0.877
Cu7 0.168 0.832 0.623
Cu8 0.168 0.832 0.877
Cu9 0.333 0.667 0.750
Cu10 0.337 0.168 0.123
Cu11 0.337 0.168 0.377
Cu12 0.663 0.832 0.623
Cu13 0.663 0.832 0.877
Cu14 0.667 0.333 0.250
Cu15 0.832 0.168 0.123
Cu16 0.832 0.168 0.377
Cu17 0.832 0.663 0.123
Cu18 0.832 0.663 0.377